Compound: MgTc2Ir
Source: the Alexandria database
Functional: GGA-PBE
Structure: optimized geometry

- calculated density (g/cm³) = 11.399
- energy (eV per atom) = -7.760
- M_tot (μB per cell) = 0.00
- formation energy from the elements (eV per atom) = 0.037

Lattice parameters (Å, degrees): 2.7753 3.9147 5.5312 90.00 90.00 90.00
Closest atoms and distances in Å follow each position.
Sites, in units of the cell vectors:
Tc 0.0000 0.0000 0.0165  6 Tc 2.69-2.78, 2 Ir 2.71-2.82, 4 Mg 2.85
Tc 0.5000 0.5000 0.2383  6 Tc 2.69-2.78, 2 Mg 2.76-2.77, 4 Ir 2.82
Mg 0.5000 0.5000 0.7387  4 Ir 2.72, 6 Tc 2.76-2.85, 2 Mg 2.78
Ir 0.0000 0.0000 0.5065  6 Tc 2.71-2.82, 4 Mg 2.72, 2 Ir 2.78



Compound: Ac6Hg5Pb
Source: the Alexandria database
Functional: GGA-PBE
Structure: optimized geometry

- calculated density (g/cm³) = 10.567
- energy (eV per atom) = -2.962
- M_tot (μB per cell) = 1.80
- formation energy from the elements (eV per atom) = -0.473

Lattice parameters (Å, degrees): 5.7629 8.0989 9.9846 113.93 106.77 90.00
Closest atoms and distances in Å follow each position.
Sites, in units of the cell vectors:
Hg 0.3328 0.3328 0.6656  8 Ac 3.51-3.52
Hg 0.3313 0.8313 0.6627  8 Ac 3.48-3.56
Hg 0.6672 0.6672 0.3344  8 Ac 3.51-3.52
Hg 0.6687 0.1687 0.3373  8 Ac 3.48-3.56
Hg 0.0000 0.5000 0.0000  8 Ac 3.51-3.54
Ac 0.8322 0.0833 0.6642  7 Hg 3.48-3.54, 1 Pb 3.55
Ac 0.1679 0.4190 0.3358  7 Hg 3.48-3.54, 1 Pb 3.55
Ac 0.4999 0.7479 0.0000  6 Hg 3.51-3.56, 2 Pb 3.53
Ac 0.8321 0.5810 0.6642  7 Hg 3.48-3.54, 1 Pb 3.55
Ac 0.1678 0.9167 0.3358  7 Hg 3.48-3.54, 1 Pb 3.55
Ac 0.5001 0.2521 0.0000  6 Hg 3.51-3.56, 2 Pb 3.53
Pb 0.0000 0.0000 0.0000  8 Ac 3.53-3.55